# BaTa2Be

A relaxed BaTa2Be crystal (GGA-PBEsol, the Alexandria database).

Geometry as POSCAR:
```
BaTa2Be
1.0
-1.8240 -3.4411 3.0322
1.0026 -3.4834 -3.3501
8.5598 2.3296 3.7755
Ba Be Ta
2 2 4
Cartesian
0.0000 0.0000 0.0000 Ba
4.5758 -2.3081 0.1332 Ba
3.1625 -2.2869 3.3244 Be
-0.4107 -3.4623 -0.1590 Be
6.5678 0.0108 1.9544 Ta
5.6558 -1.7098 3.4705 Ta
1.3759 -2.8746 1.5827 Ta
1.8772 -4.6163 -0.0924 Ta
```

Output
The space group is I4_1/amd, No. 141.

***

# BiMoOsRh2

A relaxed BiMoOsRh2 crystal (GGA-PBEsol, the Alexandria database).

Geometry as POSCAR:
```
BiMoOsRh2
1.0
-4.3114 -0.4999 1.6674
0.8728 -4.4741 0.9156
1.6496 1.2727 4.6468
Bi Rh Os Mo
1 2 1 1
Cartesian
0.8248 0.6363 2.3234 Bi
-2.1557 -0.2499 0.8337 Rh
0.4364 -2.2371 0.4578 Rh
0.0000 0.0000 0.0000 Os
-0.8945 -1.8506 3.6149 Mo
```

Output
The space group is P4/mmm, No. 123.

***

# SrTaNi2Sn

A relaxed SrTaNi2Sn crystal (GGA-PBEsol, the Alexandria database).

Geometry as POSCAR:
```
SrTaNi2Sn
1.0
4.4358 0.0000 0.0000
0.0000 4.4358 0.0000
0.0000 0.0000 5.5517
Ta Sn Ni Sr
1 1 2 1
Cartesian
2.2179 2.2179 2.7759 Ta
0.0000 0.0000 2.7759 Sn
0.0000 2.2179 0.0000 Ni
2.2179 0.0000 0.0000 Ni
0.0000 0.0000 0.0000 Sr
```

Output
The space group is P4/mmm, No. 123.

***

Number 1: density of states at the Fermi level 5.72 states/eV/f.u., total energy -0.4719 Ry/atom. Number 2: density of states at the Fermi level 5.25 states/eV/f.u., total energy -0.5200 Ry/atom. Number 3: density of states at the Fermi level 5.33 states/eV/f.u., total energy -0.3110 Ry/atom.